# FeBOs | Alexandria via LeMat-Bulk | GGA-PBE | optimized geometry
# * electronic total energy: -8.730 eV per atom
# * formation energy from the elements: 0.0601 eV per atom
data_FeBOs
_chemical_formula_sum 'Fe2 B2 Os2'
_cell_length_a 2.649
_cell_length_b 2.649
_cell_length_c 8.653
_cell_angle_alpha 90.00
_cell_angle_beta 90.00
_cell_angle_gamma 90.00
_space_group_name_H-M_alt 'I 4 m m'
_space_group_IT_number 107
_space_group_name_Hall 'I 4 -2'
loop_
_atom_site_label
_atom_site_fract_x
_atom_site_fract_y
_atom_site_fract_z
_atom_site_occupancy
Fe1 0.000 0.000 0.000 1
B1 0.000 0.000 0.369 1
Os1 0.000 0.000 0.710 1